VASP calculation (GGA-PBE) on crystalline Tm2Zr2Ni15 at its relaxed geometry.

abc: 8.4182 8.4182 12.5304
angles: 90.00 90.00 120.00
Last column: nearest neighbours and their distance in Å.
Space group R-3m (No. 166, hexagonal axes)
Unique sites:
Tm: 0.0000 0.0000 0.1425 [6 per cell]  12 Ni 2.89-3.06, 1 Zr 3.11
Zr: 0.0000 0.0000 0.3908 [6 per cell]  6 Ni 2.53-2.63, 1 Zr 2.74
Ni: 0.0000 0.3052 0.5000 [18 per cell]  8 Ni 2.46-2.58
Ni: 0.0000 0.5000 0.0000 [9 per cell]  8 Ni 2.46, 2 Zr 2.53
Ni: 0.0073 0.5037 0.6557 [18 per cell]  8 Ni 2.39-2.58, 1 Zr 2.63

Output
magnetization = 1.371 μB/f.u.
D(E_F) = 29.444 states/eV/f.u.
total DFT energy (no corrections) = -6.220 eV per atom